DFT (PBE with a Hubbard U) results for crystalline RbMnSeO4 at its relaxed geometry.

Cell and atoms, written as POSCAR:
```
RbMnSeO4
1.0
0.0000 4.3651 4.3651
4.3651 0.0000 4.3651
4.3651 4.3651 0.0000
Rb Mn Se O
1 1 1 4
direct
0.0000 0.0000 0.0000
0.2500 0.2500 0.2500
0.5000 0.5000 0.5000
0.3808 0.3808 0.3808
0.3808 0.3808 0.8577
0.3808 0.8577 0.3808
0.8577 0.3808 0.3808
```

Output
Final energy: -5.619 eV/atom

DFT (PBE with a Hubbard U) results for crystalline RbMnSe2O8 at its relaxed geometry.

Cell and atoms, written as POSCAR:
```
RbMnSe2O8
1.0
2.5402 1.4666 8.8713
-2.5402 1.4666 8.8713
0.0000 -2.9331 8.8713
Rb Mn Se O
1 1 2 8
direct
0.0000 0.0000 0.0000
0.5000 0.5000 0.5000
0.2331 0.2331 0.2331
0.7669 0.7669 0.7669
0.1135 0.7631 0.4848
0.2369 0.5152 0.8865
0.2952 0.2952 0.2952
0.4848 0.1135 0.7631
0.5152 0.8865 0.2369
0.7048 0.7048 0.7048
0.7631 0.4848 0.1135
0.8865 0.2369 0.5152
```

Output
Final energy: -5.611 eV/atom

DFT (PBE with a Hubbard U) results for crystalline Rb3Sm2MnO6 at its relaxed geometry.

Cell and atoms, written as POSCAR:
```
Rb3Sm2MnO6
1.0
3.1214 -5.1149 0.0000
3.1214 5.1149 0.0000
-2.2942 0.0000 6.5518
Rb Sm Mn O
3 2 1 6
direct
0.0000 0.0000 0.0000
0.3349 0.6651 0.0000
0.6651 0.3349 0.0000
0.1638 0.8362 0.5000
0.8362 0.1638 0.5000
0.5000 0.5000 0.5000
0.1477 0.4392 0.3412
0.2125 0.2125 0.7058
0.4392 0.1477 0.3412
0.5608 0.8523 0.6588
0.7875 0.7875 0.2942
0.8523 0.5608 0.6588
```

Output
Final energy: -6.299 eV/atom

DFT (PBE with a Hubbard U) results for crystalline Rb4Sm3MnO8 at its relaxed geometry.

Cell and atoms, written as POSCAR:
```
Rb4Sm3MnO8
1.0
6.2769 -3.4589 0.0000
6.2769 3.4589 0.0000
-3.9003 0.0000 6.5965
Rb Sm Mn O
4 3 1 8
direct
0.0000 0.0000 0.0000
0.0000 0.5000 0.0000
0.5000 0.0000 0.0000
0.5000 0.5000 0.0000
0.0000 0.0000 0.5000
0.0000 0.5000 0.5000
0.5000 0.0000 0.5000
0.5000 0.5000 0.5000
0.2188 0.2188 0.6795
0.2418 0.2418 0.2918
0.2590 0.6924 0.6586
0.3076 0.7410 0.3414
0.6924 0.2590 0.6586
0.7410 0.3076 0.3414
0.7582 0.7582 0.7082
0.7812 0.7812 0.3205
```

Output
Final energy: -6.338 eV/atom

DFT (PBE with a Hubbard U) results for crystalline RbSmMn2O8 at its relaxed geometry.

Cell and atoms, written as POSCAR:
```
RbSmMn2O8
1.0
5.8204 0.0000 0.0000
-2.9102 5.0407 0.0000
0.0000 0.0000 8.1313
Rb Sm Mn O
1 1 2 8
direct
0.0000 0.0000 0.0000
0.0000 0.0000 0.5000
0.3333 0.6667 0.7498
0.6667 0.3333 0.2502
0.1739 0.8203 0.6800
0.1797 0.3536 0.6800
0.3333 0.6667 0.9497
0.3536 0.1739 0.3200
0.6464 0.8261 0.6800
0.6667 0.3333 0.0503
0.8203 0.6464 0.3200
0.8261 0.1797 0.3200
```

Output
Final energy: -6.462 eV/atom

DFT (PBE with a Hubbard U) results for crystalline RbSrMnO3 at its relaxed geometry.

Cell and atoms, written as POSCAR:
```
RbSrMnO3
1.0
6.8893 -1.9574 0.0000
6.8893 1.9574 0.0000
-2.0971 0.0000 7.6507
Rb Sr Mn O
2 2 2 6
direct
0.1523 0.1523 0.0707
0.8477 0.8477 0.9293
0.1569 0.1569 0.5810
0.8431 0.8431 0.4190
0.4930 0.4930 0.7161
0.5070 0.5070 0.2839
0.0072 0.0072 0.3049
0.3481 0.3481 0.6424
0.3644 0.3644 0.2183
0.6356 0.6356 0.7817
0.6519 0.6519 0.3576
0.9928 0.9928 0.6951
```

Output
Final energy: -6.040 eV/atom

DFT (PBE with a Hubbard U) results for crystalline RbSr2MnO4 at its relaxed geometry.

Cell and atoms, written as POSCAR:
```
RbSr2MnO4
1.0
1.8312 -6.4135 0.0000
1.8312 6.4135 0.0000
0.0000 0.0000 12.6175
Rb Sr Mn O
2 4 2 8
direct
0.0854 0.9146 0.7500
0.9146 0.0854 0.2500
0.3698 0.6302 0.5382
0.3698 0.6302 0.9618
0.6302 0.3698 0.0382
0.6302 0.3698 0.4618
0.1897 0.8103 0.2500
0.8103 0.1897 0.7500
0.0000 0.0000 0.0000
0.0000 0.0000 0.5000
0.2494 0.7506 0.1145
0.2494 0.7506 0.3855
0.3708 0.6292 0.7500
0.6292 0.3708 0.2500
0.7506 0.2494 0.6145
0.7506 0.2494 0.8855
```

Output
Final energy: -6.053 eV/atom

DFT (PBE with a Hubbard U) results for crystalline RbSrMnO4 at its relaxed geometry.

Cell and atoms, written as POSCAR:
```
RbSrMnO4
1.0
6.0638 0.0000 0.0000
0.0000 5.9157 0.0000
-2.1085 0.0000 7.4156
Rb Sr Mn O
2 2 2 8
direct
0.2081 0.2500 0.4313
0.7919 0.7500 0.5687
0.2772 0.2500 0.9508
0.7228 0.7500 0.0492
0.2660 0.7500 0.1775
0.7340 0.2500 0.8225
0.0867 0.7500 0.3147
0.1017 0.7500 0.9578
0.4490 0.5212 0.2042
0.4490 0.9788 0.2042
0.5510 0.0212 0.7958
0.5510 0.4788 0.7958
0.8983 0.2500 0.0422
0.9133 0.2500 0.6853
```

Output
Final energy: -6.076 eV/atom

Copy entry 5 word for word.
DFT (PBE with a Hubbard U) results for crystalline RbSmMn2O8 at its relaxed geometry.

Cell and atoms, written as POSCAR:
```
RbSmMn2O8
1.0
5.8204 0.0000 0.0000
-2.9102 5.0407 0.0000
0.0000 0.0000 8.1313
Rb Sm Mn O
1 1 2 8
direct
0.0000 0.0000 0.0000
0.0000 0.0000 0.5000
0.3333 0.6667 0.7498
0.6667 0.3333 0.2502
0.1739 0.8203 0.6800
0.1797 0.3536 0.6800
0.3333 0.6667 0.9497
0.3536 0.1739 0.3200
0.6464 0.8261 0.6800
0.6667 0.3333 0.0503
0.8203 0.6464 0.3200
0.8261 0.1797 0.3200
```

Output
Final energy: -6.462 eV/atom

> Among the records above, which one has the highest final energy?

RbMnSe2O8

> final energy of number 8 (RbSrMnO4)?

-6.076 eV/atom